# 1
A plane-wave DFT calculation with PBE was carried out for a relaxed structure of Ac2PmYAs4.

The total energy is -0.229 Ha/atom.

The space group is P2/m (No. 10) and the conventional cell measures 7.5601, 4.3687 and 7.5698 Å, with angles of 90.00, 109.43 and 90.00 degrees. Symmetry generates all atoms from Ac at (0.0000, 0.0000, 0.0000), Ac at (0.5000, 0.5000, 0.0000), Pm at (0.0000, 0.5000, 0.5000), Y at (0.5000, 0.0000, 0.5000), As at (0.2469, 0.0000, 0.7318) and As at (0.2594, 0.5000, 0.2700).

***

# 2
A plane-wave DFT calculation with PBE was carried out for a relaxed structure of KNi4Sb12.

The uncorrected formation energy comes out at -0.19 eV/atom.

The space group is Im-3 (No. 204) and the conventional cell measures 9.3357, 9.3357 and 9.3357 Å, with angles of 90.00, 90.00 and 90.00 degrees. Symmetry generates all atoms from K at (0.0000, 0.0000, 0.0000), Ni at (0.2500, 0.2500, 0.2500) and Sb at (0.0000, 0.3410, 0.1617).